No. 1
A plane-wave DFT calculation with GGA-PBE was carried out for an optimized crystal structure of PaZn6Ag6.

## Properties
- Final energy: -34.6 eV/cell

a b c (Å): 7.081 7.081 7.081
angles (deg): 137.24 97.70 97.57
Positions (direct):
Pa: 0.000 0.000 0.000
Zn: 0.000 0.000 0.500
Zn: 0.000 0.500 0.000
Zn: 0.222 0.500 0.722
Zn: 0.500 0.000 0.000
Zn: 0.500 0.500 0.500
Zn: 0.778 0.500 0.278
Ag: 0.200 0.700 0.500
Ag: 0.345 0.000 0.345
Ag: 0.349 0.349 0.000
Ag: 0.651 0.651 0.000
Ag: 0.655 0.000 0.655
Ag: 0.800 0.300 0.500

No. 2
A plane-wave DFT calculation with GGA-PBE was carried out for an optimized crystal structure of PaZn9Ag2.

## Properties
- Energy above the lowest structure with this stoichiometry: 0 meV/atom
- Final energy: -26.8 eV/cell

a b c (Å): 8.836 8.836 3.009
angles (deg): 90.00 90.00 120.00
Positions (direct):
Pa: 0.000 0.000 0.000
Zn: 0.000 0.500 0.000
Zn: 0.179 0.359 0.500
Zn: 0.179 0.821 0.500
Zn: 0.359 0.179 0.500
Zn: 0.500 0.000 0.000
Zn: 0.500 0.500 0.000
Zn: 0.641 0.821 0.500
Zn: 0.821 0.179 0.500
Zn: 0.821 0.641 0.500
Ag: 0.333 0.667 0.000
Ag: 0.667 0.333 0.000

No. 3
A plane-wave DFT calculation with GGA-PBE was carried out for an optimized crystal structure of PaZnAg.

## Properties
- Energy above the lowest structure with this stoichiometry: 362 meV/atom
- Final energy: -12.5 eV/cell

a b c (Å): 7.889 7.889 7.889
angles (deg): 159.21 159.14 29.61
Positions (direct):
Pa: 0.000 0.000 0.000
Zn: 0.823 0.323 0.500
Ag: 0.191 0.691 0.500